1.
SrZrW2: optimized geometry, PBE.

Unit cell a=6.8902 b=6.8902 c=6.8902 alpha=90.00 beta=90.00 gamma=90.00
With the nearest neighbours (Å) after each atom.
Space group F-43m (No. 216)
Asymmetric unit:
Sr 0.0000 0.0000 0.0000 (multiplicity 4)  4 Zr 2.98, 4 W 2.98
Zr 0.2500 0.2500 0.2500 (multiplicity 4)  4 W 2.98, 4 Sr 2.98
W 0.0000 0.0000 0.5000 (multiplicity 4)  4 Zr 2.98, 4 W 2.98
W 0.2500 0.2500 0.7500 (multiplicity 4)  4 W 2.98, 4 Sr 2.98


2.
MgAl2CoCu4: optimized geometry, PBE.

Unit cell a=5.8806 b=5.8806 c=11.8625 alpha=90.00 beta=90.00 gamma=90.00
With the nearest neighbours (Å) after each atom.
Space group I4_1/amd (No. 141, origin choice 2)
Asymmetric unit:
Mg 0.0000 0.2500 0.3750 (multiplicity 4)  8 Cu 2.60
Al 0.0000 0.2500 0.1276 (multiplicity 8)  8 Cu 2.53-2.58
Co 0.0000 0.2500 0.8750 (multiplicity 4)  8 Cu 2.51
Cu 0.2364 0.0000 0.0000 (multiplicity 16)  2 Co 2.51, 4 Al 2.53-2.58, 2 Mg 2.60, 1 Cu 2.78


3.
MoI2Br3: optimized geometry, PBE.

Unit cell a=6.6491 b=7.2486 c=9.8767 alpha=107.54 beta=91.33 gamma=114.72
With the nearest neighbours (Å) after each atom.
Space group P-1 (No. 2)
Asymmetric unit:
Mo 0.1010 0.2079 0.2081 (multiplicity 2)  4 Br 2.46-2.70, 2 I 2.63-2.64
I 0.0809 0.8110 0.5584 (multiplicity 2)  1 Mo 2.64
I 0.4585 0.5769 0.3349 (multiplicity 2)  1 Mo 2.63
Br 0.1209 0.6264 0.8626 (multiplicity 2)  1 Mo 2.46
Br 0.2381 0.1760 0.9533 (multiplicity 2)  2 Mo 2.67-2.70
Br 0.2969 0.9947 0.2404 (multiplicity 2)  1 Mo 2.48


4.
SmTmNi8B2: optimized geometry, PBE.

Unit cell a=4.9893 b=4.9893 c=6.9821 alpha=90.00 beta=90.00 gamma=120.00
With the nearest neighbours (Å) after each atom.
Space group P6/mmm (No. 191)
Asymmetric unit:
Sm 0.0000 0.0000 0.0000 (multiplicity 1)  6 Ni 2.88
Tm 0.0000 0.0000 0.5000 (multiplicity 1)  12 Ni 2.88, 6 B 2.88
Ni 0.0000 0.5000 0.2945 (multiplicity 6)  2 B 2.03
Ni 0.3333 0.6667 0.0000 (multiplicity 2)  6 Ni 2.51
B 0.3333 0.6667 0.5000 (multiplicity 2)  6 Ni 2.03


5.
Mg3Al18W2: optimized geometry, PBE.

Unit cell a=14.6872 b=14.6872 c=14.6872 alpha=90.00 beta=90.00 gamma=90.00
With the nearest neighbours (Å) after each atom.
Space group Fd-3m (No. 227, origin choice 2)
Asymmetric unit:
Mg 0.0000 0.0000 0.0000 (multiplicity 16)  12 Al 3.12, 2 Mg 3.18
Mg 0.1250 0.1250 0.1250 (multiplicity 8)  4 Mg 3.18, 12 Al 3.21
Al 0.0176 0.3750 0.8750 (multiplicity 48)  2 W 2.61, 6 Al 2.72-2.88
Al 0.0592 0.0592 0.3227 (multiplicity 96)  8 Al 2.72-3.01, 1 W 2.88
W 0.0000 0.0000 0.5000 (multiplicity 16)  12 Al 2.61-2.88


6.
MgTlGeIr: optimized geometry, PBE.

Unit cell a=6.6282 b=6.6282 c=6.6282 alpha=90.00 beta=90.00 gamma=90.00
With the nearest neighbours (Å) after each atom.
Space group F-43m (No. 216)
Asymmetric unit:
Mg 0.0000 0.0000 0.0000 (multiplicity 4)  4 Tl 2.87, 4 Ge 2.87
Tl 0.2500 0.2500 0.2500 (multiplicity 4)  4 Ir 2.87, 4 Mg 2.87
Ge 0.2500 0.2500 0.7500 (multiplicity 4)  4 Mg 2.87, 4 Ir 2.87
Ir 0.0000 0.0000 0.5000 (multiplicity 4)  4 Ge 2.87, 4 Tl 2.87


7.
AgAs2: optimized geometry, PBE.

Unit cell a=6.2284 b=3.6152 c=12.1624 alpha=90.00 beta=90.00 gamma=90.00
With the nearest neighbours (Å) after each atom.
Space group Pnma (No. 62)
Asymmetric unit:
Ag 0.2051 0.2500 0.1251 (multiplicity 4)  3 As 2.59-2.63
As 0.1200 0.2500 0.3339 (multiplicity 4)  2 As 2.46, 2 Ag 2.59-2.63
As 0.1626 0.2500 0.9136 (multiplicity 4)  2 As 2.46, 1 Ag 2.59


8.
Gd2DyTm3Te2Os: optimized geometry, PBE.

Unit cell a=4.0615 b=14.3184 c=8.2216 alpha=90.00 beta=90.00 gamma=90.00
With the nearest neighbours (Å) after each atom.
Space group Amm2 (No. 38)
Asymmetric unit:
Gd 0.0000 0.1963 0.0000 (multiplicity 4)  4 Te 3.25, 1 Os 3.25, 4 Tm 3.47-3.48
Dy 0.0000 0.0000 0.4142 (multiplicity 2)  1 Os 3.18, 4 Te 3.26, 4 Tm 3.46
Tm 0.5000 0.0000 0.0394 (multiplicity 2)  2 Os 2.83
Tm 0.5000 0.1181 0.6858 (multiplicity 4)  2 Os 2.81
Te 0.5000 0.1663 0.3044 (multiplicity 4)  3 Tm 3.21-3.24, 4 Gd 3.25, 2 Dy 3.26
Os 0.0000 0.0000 0.8004 (multiplicity 2)  6 Tm 2.81-2.83


9.
Tb4Ga12Cu: optimized geometry, PBE.

Unit cell a=8.6331 b=8.6331 c=8.6331 alpha=90.00 beta=90.00 gamma=90.00
With the nearest neighbours (Å) after each atom.
Space group Im-3m (No. 229)
Asymmetric unit:
Tb 0.2500 0.2500 0.2500 (multiplicity 8)  12 Ga 3.05-3.07
Ga 0.0000 0.0000 0.2931 (multiplicity 12)  1 Cu 2.53, 4 Ga 2.80
Ga 0.0000 0.2500 0.5000 (multiplicity 12)  8 Ga 2.80-3.05, 4 Tb 3.05
Cu 0.0000 0.0000 0.0000 (multiplicity 2)  6 Ga 2.53


10.
BeAsIrO: optimized geometry, PBE.

Unit cell a=4.1675 b=5.2192 c=4.9013 alpha=90.00 beta=90.00 gamma=90.00
With the nearest neighbours (Å) after each atom.
Space group Pmc2_1 (No. 26)
Asymmetric unit:
Be 0.0000 0.1332 0.0000 (multiplicity 2)  2 O 1.58
As 0.5000 0.3317 0.8539 (multiplicity 2)  2 Be 2.43, 4 Ir 2.51-2.68
Ir 0.5000 0.1819 0.3676 (multiplicity 2)  2 O 2.12
O 0.0000 0.1198 0.3223 (multiplicity 2)  2 Be 1.58


11.
Ag3B11: optimized geometry, PBE.

Unit cell a=10.4390 b=7.1676 c=4.8417 alpha=90.00 beta=100.86 gamma=90.00
With the nearest neighbours (Å) after each atom.
Space group Cm (No. 8)
Asymmetric unit:
Ag 0.0000 0.0000 0.0000 (multiplicity 2)  5 B 2.42-2.51
Ag 0.0516 0.5000 0.4024 (multiplicity 2)  7 B 2.44-2.64
Ag 0.2772 0.0000 0.1804 (multiplicity 2)  4 B 2.25-2.27
B 0.0731 0.2910 0.8183 (multiplicity 4)  3 B 1.60-1.69
B 0.1262 0.5000 0.9548 (multiplicity 2)  5 B 1.69-1.72
B 0.1985 0.2916 0.0745 (multiplicity 4)  4 B 1.63-1.72
B 0.2654 0.5000 0.2041 (multiplicity 2)  6 B 1.71-1.72
B 0.3366 0.2923 0.3222 (multiplicity 4)  4 B 1.62-1.72
B 0.4133 0.5000 0.4295 (multiplicity 2)  5 B 1.69-1.72
B 0.4625 0.2913 0.5752 (multiplicity 4)  3 B 1.60-1.69


12.
ZrH2O3: optimized geometry, PBE.

Unit cell a=6.0852 b=8.3203 c=5.1290 alpha=90.00 beta=115.69 gamma=90.00
With the nearest neighbours (Å) after each atom.
Space group Cm (No. 8)
Asymmetric unit:
Zr 0.0000 0.1983 0.0000 (multiplicity 4)  4 O 1.96-2.13
H 0.0805 0.4084 0.5371 (multiplicity 4)  1 O 0.98
H 0.2053 0.0000 0.7433 (multiplicity 2)  2 O 1.25
H 0.2566 0.5000 0.2254 (multiplicity 2)  2 O 1.21
O 0.1556 0.0000 0.2160 (multiplicity 2)  2 Zr 1.98
O 0.1600 0.5000 0.6630 (multiplicity 2)  2 H 0.98
O 0.1963 0.1498 0.7627 (multiplicity 4)  1 H 1.25
O 0.2543 0.3553 0.2117 (multiplicity 4)  1 H 1.21


Number 1: VASP energy -8.032 eV per atom. Number 2: VASP energy -3.994 eV per atom. Number 3: VASP energy -3.462 eV per atom. Number 4: VASP energy -6.085 eV per atom. Number 5: VASP energy -4.364 eV per atom. Number 6: VASP energy -4.176 eV per atom. Number 7: VASP energy -3.935 eV per atom. Number 8: VASP energy -5.733 eV per atom. Number 9: VASP energy -3.966 eV per atom. Number 10: VASP energy -6.187 eV per atom. Number 11: VASP energy -5.352 eV per atom. Number 12: VASP energy -6.912 eV per atom.